## TaCuRh2 (GGA-PBE)

Data for a relaxed structure of TaCuRh2.

Lattice parameters (Å, degrees): 4.6890 2.8077 4.8257 90.00 112.42 90.00
Closest atoms and distances in Å follow each position.
Space group P2/m (No. 10)
One atom of each set of equivalent atoms:
Ta (0.0000, 0.0000, 0.0000) x1  6 Rh 2.65-2.73, 4 Cu 2.79, 2 Ta 2.81
Cu (0.0000, 0.5000, 0.5000) x1  6 Rh 2.65-2.73, 4 Ta 2.79, 2 Cu 2.81
Rh (0.5000, 0.0000, 0.5000) x1  2 Ta 2.65, 4 Cu 2.73, 6 Rh 2.79-2.81
Rh (0.5000, 0.5000, 0.0000) x1  2 Cu 2.65, 4 Ta 2.73, 6 Rh 2.79-2.81

Properties
* spin magnetization: 0.0 μB/f.u.
* calculated total energy: -7.86 eV per atom
* ΔH_f (0 K): -0.199 eV per atom